Entry 1:
Compound: SrSc2F
Source: Alexandria via LeMat-Bulk
Functional: GGA-PBE
Structure: optimized geometry

- ΔE to the lowest computed polymorph: 0.0755 eV/atom
- Energy relative to the elements, uncorrected: -0.900 eV per atom

a = 3.5669 Å, b = 3.5669 Å, c = 30.3186 Å
α = 90.00°, β = 90.00°, γ = 120.00°
Space group R-3m (No. 166, hexagonal axes)
Asymmetric unit:
Sr  0.0000  0.0000  0.0000 (multiplicity 3)
Sc  0.0000  0.0000  0.4332 (multiplicity 6)
F  0.0000  0.0000  0.5000 (multiplicity 3)



Entry 2:
Compound: Sr2ScF8
Source: Alexandria via LeMat-Bulk
Functional: GGA-PBE
Structure: optimized geometry

- Energy relative to the elements, uncorrected: -3.490 eV per atom

a = 14.680 Å, b = 4.019 Å, c = 5.399 Å
α = 90.00°, β = 110.19°, γ = 90.00°
Space group C2/m (No. 12)
Asymmetric unit:
Sr  0.165  0.000  0.172 (multiplicity 4)
Sc  0.000  0.500  0.500 (multiplicity 2)
F  0.013  0.000  0.298 (multiplicity 4)
F  0.090  0.500  0.889 (multiplicity 4)
F  0.134  0.500  0.446 (multiplicity 4)
F  0.227  0.000  0.789 (multiplicity 4)



Entry 3:
Compound: Sr2ScF8
Source: Alexandria via LeMat-Bulk
Functional: GGA-PBE
Structure: optimized geometry

- Energy relative to the elements, uncorrected: -3.490 eV per atom

a = 12.043 Å, b = 4.321 Å, c = 6.919 Å
α = 90.00°, β = 113.48°, γ = 90.00°
Space group C2/m (No. 12)
Asymmetric unit:
Sr  0.190  0.000  0.183 (multiplicity 4)
Sc  0.000  0.000  0.500 (multiplicity 2)
F  0.013  0.000  0.801 (multiplicity 4)
F  0.070  0.500  0.644 (multiplicity 4)
F  0.181  0.000  0.555 (multiplicity 4)
F  0.182  0.500  0.026 (multiplicity 4)



Entry 4:
Compound: SrScTeF2
Source: Alexandria via LeMat-Bulk
Functional: GGA-PBE
Structure: optimized geometry

- Energy relative to the elements, uncorrected: -0.919 eV per atom

a = 5.159 Å, b = 5.159 Å, c = 5.316 Å
α = 90.00°, β = 90.00°, γ = 90.00°
Space group P4/mmm (No. 123)
Asymmetric unit:
Sr  0.000  0.000  0.000 (multiplicity 1)
Sc  0.500  0.500  0.000 (multiplicity 1)
Te  0.500  0.500  0.500 (multiplicity 1)
F  0.000  0.500  0.500 (multiplicity 2)